[1]
4
Lattice="3.267 0.000 0.000 0.000 3.267 0.000 0.000 0.000 7.870" Properties=species:S:1:pos:R:3 comment="PBE ErMgScCo, optimized geometry" total_magnetization_mub_per_cell=0.6 polymorph_energy_mev_per_atom=0.0 formation_energy_mev_per_atom=-189 total_energy_ev_per_atom=-5.09 pbc="T T T"
Er 0.000 0.000 0.000
Mg 1.633 1.633 2.487
Sc 0.000 0.000 4.744
Co 1.633 1.633 6.169



[2]
4
Lattice="0.000 3.572 3.572 3.572 0.000 3.572 3.572 3.572 0.000" Properties=species:S:1:pos:R:3 comment="PBE SmErMgCo, optimized geometry" total_magnetization_mub_per_cell=0.3 polymorph_energy_mev_per_atom=125.7 formation_energy_mev_per_atom=14 total_energy_ev_per_atom=-4.48 pbc="T T T"
Sm 0.000 0.000 0.000
Er 3.572 3.572 3.572
Mg 1.786 1.786 1.786
Co 5.359 5.359 5.359



[3]
4
Lattice="3.418 0.000 0.000 0.000 3.418 0.000 0.000 0.000 8.110" Properties=species:S:1:pos:R:3 comment="PBE SmErMgCo, optimized geometry" total_magnetization_mub_per_cell=0.8 polymorph_energy_mev_per_atom=0.0 formation_energy_mev_per_atom=-112 total_energy_ev_per_atom=-4.61 pbc="T T T"
Sm 0.000 0.000 0.000
Er 0.000 0.000 4.844
Mg 1.709 1.709 2.484
Co 1.709 1.709 6.388